# 1
The following is a GGA-PBE calculation of a relaxed structure of LuReTe, from OQMD.

Calculated total energy   -6.484 eV per atom

Cell: 4.6013 4.6013 4.6013 Å, 60.00 60.00 60.00°
Last column: nearest neighbours and their distance in Å.
Element x y z (fractional)
Lu1 0.2500 0.2500 0.2500  4 Re 2.82
Te1 0.7500 0.7500 0.7500  4 Re 2.82
Re1 0.0000 0.0000 0.0000  4 Lu 2.82, 4 Te 2.82


# 2
The following is a GGA-PBE calculation of a relaxed structure of TbPbAuSe3, from OQMD.

Calculated total energy   -4.616 eV per atom

Cell: 7.9235 4.1306 10.1598 Å, 90.00 107.05 90.00°
Last column: nearest neighbours and their distance in Å.
Element x y z (fractional)
Se1 0.3093 0.7500 0.5410  2 Au 2.68, 1 Tb 2.95
Se2 0.0519 0.2500 0.8257  1 Au 2.60, 2 Tb 2.89
Se3 0.9481 0.7500 0.1743  1 Au 2.60, 2 Tb 2.89
Tb1 0.6904 0.2500 0.1682  6 Se 2.89-2.95, 2 Au 3.21
Se4 0.4204 0.7500 0.1291  3 Tb 2.89-2.92, 2 Pb 3.15
Tb2 0.3096 0.7500 0.8318  6 Se 2.89-2.95, 2 Au 3.21
Se5 0.5796 0.2500 0.8709  3 Tb 2.89-2.92, 2 Pb 3.15
Se6 0.6907 0.2500 0.4590  2 Au 2.68, 1 Tb 2.95
Au1 0.1221 0.2500 0.5914  3 Se 2.60-2.68
Pb1 0.2632 0.2500 0.2956  7 Se 3.15-3.31, 1 Au 3.50
Pb2 0.7368 0.7500 0.7044  7 Se 3.15-3.31, 1 Au 3.50
Au2 0.8779 0.7500 0.4086  3 Se 2.60-2.68


# 3
The following is a GGA-PBE calculation of a relaxed structure of UNbW, from OQMD.

Calculated total energy   -10.685 eV per atom

Cell: 4.5352 4.5352 4.5352 Å, 60.00 60.00 60.00°
Last column: nearest neighbours and their distance in Å.
Element x y z (fractional)
U1 0.2500 0.2500 0.2500  4 W 2.78
Nb1 0.7500 0.7500 0.7500  4 W 2.78
W1 0.0000 0.0000 0.0000  4 U 2.78, 4 Nb 2.78


# 4
The following is a GGA-PBE calculation of a relaxed structure of BeTlCdCu, from OQMD.

Calculated total energy   -2.181 eV per atom

Cell: 4.6181 4.6181 4.6181 Å, 60.00 60.00 60.00°
Last column: nearest neighbours and their distance in Å.
Element x y z (fractional)
Cd1 0.5000 0.5000 0.5000  4 Cu 2.83, 4 Be 2.83
Be1 0.2500 0.2500 0.2500  4 Cd 2.83, 4 Tl 2.83
Tl1 0.0000 0.0000 0.0000  4 Cu 2.83, 4 Be 2.83
Cu1 0.7500 0.7500 0.7500  4 Cd 2.83, 4 Tl 2.83


# 5
The following is a GGA-PBE calculation of a relaxed structure of Sc3AuO, from OQMD.

Calculated total energy   -7.049 eV per atom

Cell: 4.3686 4.3686 4.3686 Å, 90.00 90.00 90.00°
Last column: nearest neighbours and their distance in Å.
Element x y z (fractional)
O1 0.0000 0.0000 0.0000  6 Sc 2.18
Sc1 0.0000 0.5000 0.0000  2 O 2.18
Sc2 0.5000 0.0000 0.0000  2 O 2.18
Sc3 0.0000 0.0000 0.5000  2 O 2.18
Au1 0.5000 0.5000 0.5000  12 Sc 3.09


# 6
The following is a GGA-PBE calculation of a relaxed structure of Lu2As2O5, from OQMD.

Calculated total energy   -6.316 eV per atom

Cell: 6.6591 4.0872 4.0872 Å, 90.00 90.00 90.00°
Last column: nearest neighbours and their distance in Å.
Element x y z (fractional)
Lu1 0.5000 0.0000 0.0000  12 O 2.71-2.89
O1 0.7680 0.0000 0.5000  2 As 2.05
O2 0.7680 0.5000 0.0000  2 As 2.05
O3 0.2320 0.0000 0.5000  2 As 2.05
O4 0.2320 0.5000 0.0000  2 As 2.05
As1 0.7933 0.5000 0.5000  5 O 1.95-2.05
O5 0.5000 0.5000 0.5000  2 As 1.95
As2 0.2067 0.5000 0.5000  5 O 1.95-2.05
Lu2 0.0000 0.0000 0.0000  8 O 2.56


# 7
The following is a GGA-PBE calculation of a relaxed structure of RbGdHgTe3, from OQMD.

Calculated total energy   -3.458 eV per atom

Cell: 12.8825 4.6714 14.0459 Å, 90.00 90.00 90.00°
Last column: nearest neighbours and their distance in Å.
Element x y z (fractional)
Te1 0.9690 0.7500 0.1660  1 Hg 2.84, 2 Gd 3.17
Te2 0.5847 0.7500 0.0678  1 Hg 2.85, 2 Gd 3.20
Rb1 0.6811 0.7500 0.5107  7 Te 3.58-3.90, 2 Hg 3.66
Te3 0.5310 0.2500 0.6660  1 Hg 2.84, 2 Gd 3.17
Hg1 0.7484 0.2500 0.7015  4 Te 2.84-2.90
Gd1 0.0302 0.7500 0.6819  5 Te 3.08-3.20
Hg2 0.7516 0.7500 0.2015  4 Te 2.84-2.90
Te4 0.0310 0.2500 0.8340  1 Hg 2.84, 2 Gd 3.17
Rb2 0.8189 0.2500 0.0107  7 Te 3.58-3.90, 2 Hg 3.66
Te5 0.0847 0.7500 0.4322  1 Hg 2.85, 2 Gd 3.20
Hg3 0.2516 0.7500 0.2985  4 Te 2.84-2.90
Te6 0.2305 0.2500 0.1773  2 Hg 2.90, 1 Gd 3.08
Rb3 0.3189 0.2500 0.4893  7 Te 3.58-3.90, 2 Hg 3.66
Gd2 0.4698 0.2500 0.1819  5 Te 3.08-3.20
Te7 0.4153 0.2500 0.9322  1 Hg 2.85, 2 Gd 3.20
Te8 0.2695 0.7500 0.6773  2 Hg 2.90, 1 Gd 3.08
Gd3 0.9698 0.2500 0.3181  5 Te 3.08-3.20
Te9 0.9153 0.2500 0.5678  1 Hg 2.85, 2 Gd 3.20
Rb4 0.1811 0.7500 0.9893  7 Te 3.58-3.90, 2 Hg 3.66
Gd4 0.5302 0.7500 0.8181  5 Te 3.08-3.20
Te10 0.7305 0.2500 0.3227  2 Hg 2.90, 1 Gd 3.08
Te11 0.7695 0.7500 0.8227  2 Hg 2.90, 1 Gd 3.08
Te12 0.4690 0.7500 0.3340  1 Hg 2.84, 2 Gd 3.17
Hg4 0.2484 0.2500 0.7985  4 Te 2.84-2.90


# 8
The following is a GGA-PBE calculation of a relaxed structure of PrGeTe3Au, from OQMD.

Calculated total energy   -4.276 eV per atom

Cell: 4.5256 12.5342 13.2489 Å, 90.00 90.00 90.00°
Last column: nearest neighbours and their distance in Å.
Element x y z (fractional)
Au1 0.2500 0.7624 0.7122  3 Te 2.71-2.75
Ge1 0.2500 0.3925 0.2364  3 Te 2.84-2.99, 2 Au 3.06
Te1 0.2500 0.1716 0.1877  2 Au 2.75, 1 Ge 2.84
Te2 0.2500 0.3284 0.6877  2 Au 2.75, 1 Ge 2.84
Te3 0.7500 0.1252 0.9462  1 Au 2.71
Te4 0.7500 0.6716 0.3123  2 Au 2.75, 1 Ge 2.84
Au2 0.7500 0.2624 0.7878  3 Te 2.71-2.75
Te5 0.2500 0.9422 0.4031  2 Ge 2.99, 1 Pr 3.32
Te6 0.7500 0.4422 0.0969  2 Ge 2.99, 1 Pr 3.32
Pr1 0.7500 0.6995 0.0363  6 Te 3.16-3.38, 2 Au 3.28
Te7 0.7500 0.8284 0.8123  2 Au 2.75, 1 Ge 2.84
Te8 0.2500 0.6252 0.5538  1 Au 2.71
Pr2 0.2500 0.1995 0.4637  6 Te 3.16-3.38, 2 Au 3.28
Pr3 0.7500 0.8005 0.5363  6 Te 3.16-3.38, 2 Au 3.28
Te9 0.2500 0.5578 0.9031  2 Ge 2.99, 1 Pr 3.32
Te10 0.2500 0.8748 0.0538  1 Au 2.71
Pr4 0.2500 0.3005 0.9637  6 Te 3.16-3.38, 2 Au 3.28
Ge2 0.7500 0.6075 0.7636  3 Te 2.84-2.99, 2 Au 3.06
Te11 0.7500 0.0578 0.5969  2 Ge 2.99, 1 Pr 3.32
Ge3 0.2500 0.1075 0.7364  3 Te 2.84-2.99, 2 Au 3.06
Te12 0.7500 0.3748 0.4462  1 Au 2.71
Ge4 0.7500 0.8925 0.2636  3 Te 2.84-2.99, 2 Au 3.06
Au3 0.2500 0.7376 0.2122  3 Te 2.71-2.75
Au4 0.7500 0.2376 0.2878  3 Te 2.71-2.75


Please write out number 5 again, unchanged.
The following is a GGA-PBE calculation of a relaxed structure of Sc3AuO, from OQMD.

Calculated total energy   -7.049 eV per atom

Cell: 4.3686 4.3686 4.3686 Å, 90.00 90.00 90.00°
Last column: nearest neighbours and their distance in Å.
Element x y z (fractional)
O1 0.0000 0.0000 0.0000  6 Sc 2.18
Sc1 0.0000 0.5000 0.0000  2 O 2.18
Sc2 0.5000 0.0000 0.0000  2 O 2.18
Sc3 0.0000 0.0000 0.5000  2 O 2.18
Au1 0.5000 0.5000 0.5000  12 Sc 3.09


Question: Look up the calculated total energy of the fifth one.
Answer: -7.049 eV per atom